First-principles (GGA-PBE) data for a relaxed structure of YHf2ZrW, as listed in the Alexandria database.

Computed properties:
The calculation puts the formation energy at 882.3 meV/atom.

Geometry as CIF:
```
data_YHf2ZrW
_cell_length_a 5.0661
_cell_length_b 5.0661
_cell_length_c 5.3049
_cell_angle_alpha 90.00
_cell_angle_beta 90.00
_cell_angle_gamma 90.00
_space_group_name_H-M_alt 'P 4/m m m'
_space_group_IT_number 123
_space_group_name_Hall '-P 4 2'
loop_
_atom_site_label
_atom_site_type_symbol
_atom_site_fract_x
_atom_site_fract_y
_atom_site_fract_z
Y1 Y 0.0000 0.0000 0.0000
Hf1 Hf 0.0000 0.5000 0.5000
Zr1 Zr 0.5000 0.5000 0.0000
W1 W 0.0000 0.0000 0.5000
```